Record 1
The following is a DFT calculation (PBE) of a relaxed CaTeSe2 crystal.

abc: 4.6271 4.6271 22.0832
angles: 90.00 90.00 120.00
Last column: nearest neighbours and their distance in Å.
Sites, in units of the cell vectors:
Ca 0.0000 0.0000 0.0000  3 Se 2.79
Ca 0.3333 0.6667 0.6667  3 Se 2.79
Ca 0.6667 0.3333 0.3333  3 Se 2.79
Te 0.0000 0.0000 0.8481  3 Se 2.80
Te 0.3333 0.6667 0.5147  3 Se 2.80
Te 0.6667 0.3333 0.1814  3 Se 2.80
Se 0.0000 0.0000 0.3691  3 Ca 2.79
Se 0.0000 0.0000 0.5531  3 Te 2.80
Se 0.3333 0.6667 0.0357  3 Ca 2.79
Se 0.3333 0.6667 0.2197  3 Te 2.80
Se 0.6667 0.3333 0.7024  3 Ca 2.79
Se 0.6667 0.3333 0.8864  3 Te 2.80

The value obtained for the electronic total energy is -44.13 eV per cell. The uncorrected formation energy is -2.60 eV/f.u.

***

Record 2
The following is a DFT calculation (PBE) of a relaxed CaTeSe2 crystal.

abc: 3.9923 4.1477 6.8265
angles: 90.00 90.00 90.00
Last column: nearest neighbours and their distance in Å.
Sites, in units of the cell vectors:
Ca 0.0000 0.0000 0.0000  4 Se 2.88
Te 0.0000 0.5000 0.5000  4 Se 2.88
Se 0.5000 0.0000 0.5000  4 Te 2.88
Se 0.5000 0.5000 0.0000  4 Ca 2.88

The value obtained for the electronic total energy is -15.08 eV per cell. The uncorrected formation energy is -2.97 eV/f.u.

***

Question: What is the electronic total energy in the first record?
Answer: -44.13 eV per cell

***

Question: Look up the electronic total energy of the second one.
Answer: -15.08 eV per cell

***

Repeat the second record exactly.
The following is a DFT calculation (PBE) of a relaxed CaTeSe2 crystal.

abc: 3.9923 4.1477 6.8265
angles: 90.00 90.00 90.00
Last column: nearest neighbours and their distance in Å.
Sites, in units of the cell vectors:
Ca 0.0000 0.0000 0.0000  4 Se 2.88
Te 0.0000 0.5000 0.5000  4 Se 2.88
Se 0.5000 0.0000 0.5000  4 Te 2.88
Se 0.5000 0.5000 0.0000  4 Ca 2.88

The value obtained for the electronic total energy is -15.08 eV per cell. The uncorrected formation energy is -2.97 eV/f.u.